Record 1
A geometry-optimized TbH3O3 structure. Source: Alexandria, functional GGA-PBEsol.

- Size of the total moment: 0.00 μB per formula unit
- Raw total energy: -89.21 eV for the cell shown

a = 3.5137 Å, b = 6.2274 Å, c = 6.2274 Å
α = 120.00°, β = 90.00°, γ = 90.00°
Closest atoms and distances in Å follow each position.
Fractional positions:
H 0.7500 0.7223 0.8687  1 O 0.98
H 0.7500 0.1464 0.2777  1 O 0.98
H 0.7500 0.1313 0.8536  1 O 0.98
H 0.2500 0.2777 0.1313  1 O 0.98
H 0.2500 0.8536 0.7223  1 O 0.98
H 0.2500 0.8687 0.1464  1 O 0.98
Tb 0.7500 0.6667 0.3333  9 O 2.40-2.43
Tb 0.2500 0.3333 0.6667  9 O 2.40-2.43
O 0.7500 0.6069 0.6897  1 H 0.98
O 0.7500 0.0828 0.3931  1 H 0.98
O 0.7500 0.3103 0.9172  1 H 0.98
O 0.2500 0.3931 0.3103  1 H 0.98
O 0.2500 0.9172 0.6069  1 H 0.98
O 0.2500 0.6897 0.0828  1 H 0.98

---

Record 2
A geometry-optimized HfFeAs2P structure. Source: Alexandria, functional GGA-PBEsol.

- Size of the total moment: 0.00 μB per formula unit
- Raw total energy: -34.94 eV for the cell shown
- Energy relative to the elements: 107 meV per atom
- Energy relative to the lowest polymorph listed for this composition: 0 meV per atom

a = 4.2430 Å, b = 4.2430 Å, c = 5.0198 Å
α = 90.00°, β = 90.00°, γ = 90.00°
Closest atoms and distances in Å follow each position.
Fractional positions:
P 0.5000 0.5000 0.5000  4 Hf 3.00, 8 As 3.29
As 0.0000 0.5000 0.0000  2 Fe 2.12
As 0.5000 0.0000 0.0000  2 Fe 2.12
Hf 0.0000 0.0000 0.5000  2 Fe 2.51
Fe 0.0000 0.0000 0.0000  4 As 2.12

---

Record 3
A geometry-optimized Ba2NaLaTi4O12 structure. Source: Alexandria, functional GGA-PBEsol.

- Energy relative to the elements, uncorrected: -61.805 eV per formula unit
- Size of the total moment: 0.00 μB per formula unit
- Raw total energy: -169.13 eV for the cell shown

a = 5.5581 Å, b = 5.5581 Å, c = 8.7700 Å
α = 108.47°, β = 108.47°, γ = 90.00°
Closest atoms and distances in Å follow each position.
Fractional positions:
Ba 0.7525 0.7525 0.5049  12 O 2.78-2.85
Ba 0.2475 0.2475 0.4951  12 O 2.78-2.85
Na 0.0000 0.0000 0.0000  12 O 2.75-2.78
La 0.5000 0.5000 0.0000  12 O 2.68-2.78
Ti 0.1216 0.6216 0.2432  6 O 1.91-2.01
Ti 0.8784 0.3784 0.7568  6 O 1.91-2.01
Ti 0.6216 0.1216 0.2432  6 O 1.91-2.01
Ti 0.3784 0.8784 0.7568  6 O 1.91-2.01
O 0.3759 0.3759 0.2388  2 Ti 1.97
O 0.1372 0.1372 0.7612  2 Ti 1.97
O 0.8628 0.8628 0.2388  2 Ti 1.97
O 0.6241 0.6241 0.7612  2 Ti 1.97
O 0.3759 0.8628 0.2388  2 Ti 1.97
O 0.1372 0.6241 0.7612  2 Ti 1.97
O 0.8628 0.3759 0.2388  2 Ti 1.97
O 0.6241 0.1372 0.7612  2 Ti 1.97
O 0.2500 0.7500 0.5000  2 Ti 2.01
O 0.0000 0.5000 0.0000  2 Ti 1.91
O 0.7500 0.2500 0.5000  2 Ti 2.01
O 0.5000 0.0000 0.0000  2 Ti 1.91

---

Record 4
A geometry-optimized TlAgTe structure. Source: Alexandria, functional GGA-PBEsol.

- Energy relative to the elements, uncorrected: -0.511 eV per formula unit
- Size of the total moment: 0.00 μB per formula unit
- Raw total energy: -39.91 eV for the cell shown
- Energy relative to the lowest polymorph listed for this composition: 0 meV per atom

a = 4.8170 Å, b = 7.7717 Å, c = 8.5269 Å
α = 90.00°, β = 90.00°, γ = 90.00°
Closest atoms and distances in Å follow each position.
Fractional positions:
Tl 0.2500 0.1751 0.9814  4 Ag 3.28-3.59, 6 Te 3.45-3.56, 2 Tl 3.65
Tl 0.7500 0.6751 0.5186  4 Ag 3.28-3.59, 6 Te 3.45-3.56, 2 Tl 3.65
Tl 0.2500 0.3249 0.4814  4 Ag 3.28-3.59, 6 Te 3.45-3.56, 2 Tl 3.65
Tl 0.7500 0.8249 0.0186  4 Ag 3.28-3.59, 6 Te 3.45-3.56, 2 Tl 3.65
Te 0.7500 0.4036 0.1817  4 Ag 2.76-2.98
Te 0.7500 0.0964 0.6817  4 Ag 2.76-2.98
Te 0.2500 0.5964 0.8183  4 Ag 2.76-2.98
Te 0.2500 0.9036 0.3183  4 Ag 2.76-2.98
Ag 0.2500 0.5897 0.1680  4 Te 2.76-2.98
Ag 0.7500 0.4103 0.8320  4 Te 2.76-2.98
Ag 0.7500 0.0897 0.3320  4 Te 2.76-2.98
Ag 0.2500 0.9103 0.6680  4 Te 2.76-2.98

---

Q: Look up the raw total energy of the first one.
A: -89.21 eV for the cell shown

---

Q: size of the total moment of number 1 (TbH3O3)?
A: 0.00 μB per formula unit